BaMnCoF6 | GGA+U | optimized geometry

Cell and atoms, written as extended XYZ:
```
9
Lattice="5.5886 0.0118 0.0043 2.8081 4.8406 -0.0010 -0.0019 -0.0098 5.5950" Properties=species:S:1:pos:R:3 pbc="T T T"
Co 2.8014 1.6131 2.7987
F 4.5073 1.7682 3.9533
F 3.7890 3.0173 1.6446
F 2.0631 0.0582 3.9490
F 1.8188 3.0200 3.9438
F 3.5204 0.0586 1.6505
F 1.0875 1.7533 1.6492
Ba 8.3965 4.8523 0.0039
Mn 5.5944 3.2295 2.7999
```

size of the total moment = 8.1 Bohr magnetons per cell
uncorrected energy = -51.84 eV/cell
theoretical density = 4.0 Mg/m³
space-group type = P1, No. 1